No. 1
Entry from Alexandria via LeMat-Bulk: a relaxed KCu2SbCl8 crystal (PBE).

Unit cell a=6.138 b=8.211 c=8.409 alpha=105.31 beta=104.54 gamma=103.01
Space group P-1 (No. 2)
Asymmetric unit:
1 K 0.000 0.000 0.000 x1
2 Cu 0.336 0.359 0.798 x2
3 Sb 0.500 0.000 0.500 x1
4 Cl 0.066 0.820 0.334 x2
5 Cl 0.288 0.414 0.058 x2
6 Cl 0.389 0.296 0.536 x2
7 Cl 0.452 0.994 0.791 x2

Properties
total moment = 0.000 μB per formula unit
formation energy (no corrections) = -10.08 eV/f.u.
uncorrected energy = -38.26 eV per formula unit


No. 2
Entry from Alexandria via LeMat-Bulk: a relaxed MnTe2Pt crystal (PBE).

Unit cell a=4.011 b=4.011 c=10.582 alpha=90.00 beta=90.00 gamma=90.00
Space group I-4m2 (No. 119)
Asymmetric unit:
1 Mn 0.000 0.000 0.000 x2
2 Te 0.000 0.000 0.500 x2
3 Te 0.000 0.500 0.250 x2
4 Pt 0.000 0.500 0.750 x2

Properties
total moment = 3.887 μB per formula unit
formation energy (no corrections) = 0.86 eV/f.u.
uncorrected energy = -20.64 eV per formula unit
energy above the most stable polymorph in this dataset = 453 meV/atom